Below is a relaxed structure of Er6TmTh4, with properties calculated at the PBE level.

Crystal system = orthorhombic
Calculated formation energy = 0.161 eV/atom
Final energy = -5.43 eV/atom
Energy above the most stable polymorph in this dataset = 0.000 eV per atom

Lattice parameters (Å, degrees): 3.402 5.792 18.109 99.20 95.39 90.00
Fractional positions:
Er: 0.869 0.369 0.738
Er: 0.595 0.095 0.191
Er: 0.131 0.631 0.262
Er: 0.767 0.267 0.534
Er: 0.233 0.733 0.466
Er: 0.405 0.905 0.809
Th: 0.182 0.182 0.364
Th: 0.544 0.544 0.088
Th: 0.818 0.818 0.636
Th: 0.456 0.456 0.912
Tm: 0.000 0.000 0.000